Entry 1:
Entry from Alexandria: a relaxed structure of Th6As5S (GGA-PBE).

The structure belongs to space group C2/m (No. 12); the cell edges are 7.3006, 12.6704 and 7.3158 Å and the angles 90.00°, 109.55° and 90.00°. The asymmetric unit holds Th at (0.2451, 0.0000, 0.2524), Th at (0.2456, 0.1640, 0.7457), As at (0.0000, 0.1697, 0.0000), As at (0.0000, 0.3339, 0.5000), As at (0.0000, 0.5000, 0.0000) and S at (0.0000, 0.0000, 0.5000).

As for the uncorrected formation energy: -17.6 eV per formula unit. The volume comes out at 26.571 Å³/atom. The density of states at the Fermi level is 0.63 states/eV/atom.



Entry 2:
Entry from Alexandria: a relaxed structure of YThAsS (GGA-PBE).

The structure belongs to space group P4/mmm (No. 123); the cell edges are 4.0705, 4.0705 and 5.8619 Å and the angles 90.00°, 90.00° and 90.00°. The asymmetric unit holds Y at (0.0000, 0.0000, 0.0000), Th at (0.5000, 0.5000, 0.5000), As at (0.5000, 0.5000, 0.0000) and S at (0.0000, 0.0000, 0.5000).

As for the uncorrected formation energy: -6.7 eV per formula unit. The volume comes out at 24.282 Å³/atom. The density of states at the Fermi level is 0.66 states/eV/atom.



Entry 3:
Entry from Alexandria: a relaxed structure of TiAs3S (GGA-PBE).

The structure belongs to space group Pm-3m (No. 221); the cell edges are 4.7113, 4.7113 and 4.7113 Å and the angles 90.00°, 90.00° and 90.00°. The asymmetric unit holds Ti at (0.0000, 0.0000, 0.0000), As at (0.0000, 0.5000, 0.5000) and S at (0.5000, 0.5000, 0.5000).

As for the uncorrected formation energy: 3.2 eV per formula unit. The volume comes out at 20.914 Å³/atom. The density of states at the Fermi level is 0.99 states/eV/atom.